First-principles (PBE) data for crystalline CuRuPt2 at its relaxed geometry, as listed in the Alexandria database.

energy above the lowest structure with this stoichiometry: 7 meV per atom
magnetic moment: 0.5 μB per cell
DFT formation energy: -0.0415 eV per atom

a = 2.763 Å, b = 2.763 Å, c = 7.540 Å
α = 90.00°, β = 90.00°, γ = 90.00°
Last column: magnetic moment on the atom in μB.
Positions (direct):
1 Ru 0.500 0.500 0.500  0.32
2 Cu 0.500 0.500 0.000  0.01
3 Pt 0.000 0.000 0.752  0.07
4 Pt 0.000 0.000 0.248  0.07